[1]
{
  "formula": "CaTiH6O2F6",
  "functional": "PBE",
  "state": "relaxed",
  "total_energy_ev_per_atom": -5.15,
  "sg": "C2 (5)",
  "magmom_total_mub_per_fu": 2.0,
  "de_polymorph_kj_per_mol_fu": 138,
  "volume_a3_per_cell": 175.96,
  "lattice_angstrom": [[1.741, -5.691, 0.942], [5.771, -1.290, -1.152], [1.666, 0.904, 5.107]],
  "species": ["H", "F", "F", "O", "H", "Ti", "F", "H", "H", "F", "H", "F", "O", "F", "Ca", "H"],
  "fractional_positions": [[0.191, 0.316, 0.727], [0.763, 0.956, 0.692], [0.163, 0.673, 0.235], [0.654, 0.662, 0.324], [0.684, 0.809, 0.273], [0.007, 0.993, 0.000], [0.892, 0.335, 0.820], [0.596, 0.096, 0.666], [0.543, 0.716, 0.474], [0.327, 0.837, 0.765], [0.904, 0.404, 0.334], [0.044, 0.237, 0.308], [0.338, 0.346, 0.676], [0.665, 0.108, 0.180], [0.505, 0.495, 0.000], [0.284, 0.457, 0.526]]
}


[2]
{
  "formula": "ScMoOs2",
  "functional": "PBE",
  "state": "relaxed",
  "total_energy_ev_per_atom": -9.87,
  "sg": "P2/m (10)",
  "magmom_total_mub_per_fu": 0.0,
  "volume_a3_per_cell": 64.05,
  "formation_enthalpy_0k_ev_per_fu": 0.16,
  "lattice_angstrom": [[4.303, 0.000, 0.000], [0.000, 2.821, -0.006], [0.000, 1.255, 5.273]],
  "species": ["Os", "Sc", "Os", "Mo"],
  "fractional_positions": [[0.000, 0.931, 0.984], [0.500, 0.250, 0.250], [0.000, 0.569, 0.516], [0.500, 0.750, 0.750]]
}